[1]
DFT (GGA-PBE) results for crystalline Ca2SmMg5 at its relaxed geometry.

Lattice parameters (Å, degrees): 5.420 5.420 8.564 108.45 108.45 90.00
Positions (direct):
Ca: 0.746 0.746 0.491
Ca: 0.254 0.254 0.509
Sm: 0.000 0.000 0.000
Mg: 0.500 0.500 0.000
Mg: 0.884 0.384 0.768
Mg: 0.384 0.884 0.768
Mg: 0.116 0.616 0.232
Mg: 0.616 0.116 0.232

Output
Total magnetization, Bohr magnetons per cell: 0.00
Energy of formation, eV per atom: -0.0754
Electronic total energy, eV per atom: -2.162
D(E_F), states/eV per cell: 5.1



[2]
DFT (GGA-PBE) results for crystalline CaSm5Mg6 at its relaxed geometry.

Lattice parameters (Å, degrees): 5.463 7.733 8.641 90.00 71.57 90.00
Positions (direct):
Ca: 0.000 0.000 0.000
Mg: 0.832 0.746 0.335
Mg: 0.832 0.254 0.335
Mg: 0.500 0.252 0.000
Mg: 0.500 0.748 0.000
Mg: 0.168 0.746 0.665
Mg: 0.168 0.254 0.665
Sm: 0.667 0.500 0.667
Sm: 0.332 0.000 0.335
Sm: 0.000 0.500 0.000
Sm: 0.668 0.000 0.665
Sm: 0.333 0.500 0.333

Output
Total magnetization, Bohr magnetons per cell: 0.00
Energy of formation, eV per atom: -0.0905
Electronic total energy, eV per atom: -3.021
D(E_F), states/eV per cell: 14.5



> Which value of electronic total energy does entry 2 give?

-3.021 eV per atom



Copy entry 2 word for word.
DFT (GGA-PBE) results for crystalline CaSm5Mg6 at its relaxed geometry.

Lattice parameters (Å, degrees): 5.463 7.733 8.641 90.00 71.57 90.00
Positions (direct):
Ca: 0.000 0.000 0.000
Mg: 0.832 0.746 0.335
Mg: 0.832 0.254 0.335
Mg: 0.500 0.252 0.000
Mg: 0.500 0.748 0.000
Mg: 0.168 0.746 0.665
Mg: 0.168 0.254 0.665
Sm: 0.667 0.500 0.667
Sm: 0.332 0.000 0.335
Sm: 0.000 0.500 0.000
Sm: 0.668 0.000 0.665
Sm: 0.333 0.500 0.333

Output
Total magnetization, Bohr magnetons per cell: 0.00
Energy of formation, eV per atom: -0.0905
Electronic total energy, eV per atom: -3.021
D(E_F), states/eV per cell: 14.5



> Look up the total magnetization of the second one.

0.00 Bohr magnetons per cell